Entry 1:
Compound: DyAs2PtRh5
Source: Alexandria
Functional: PBE
Structure: optimized geometry

Values from the calculation:
Uncorrected energy: -6.51 eV/atom
Total moment: 0.0000 μB/atom
Formation enthalpy at 0 K: -214 meV/atom
Space group: No. 123

Structure (extended XYZ):
```
9
Lattice="-2.469 1.222 -3.763 -3.712 -2.250 1.705 -2.091 5.951 3.303" Properties=species:S:1:pos:R:3 pbc="T T T"
Rh -4.136 2.461 0.622
Rh -2.865 5.251 0.694
Rh -3.486 3.515 3.428
Rh -1.695 1.921 -1.154
Rh -2.316 0.185 1.580
Pt 0.000 0.000 0.000
As -4.831 4.439 1.720
As -3.441 0.483 -0.476
Dy -1.045 2.975 1.652
```

***

Entry 2:
Compound: NiPtCl
Source: Alexandria
Functional: PBE
Structure: optimized geometry

Values from the calculation:
Uncorrected energy: -4.57 eV/atom
Total moment: 0.4249 μB/atom
Space group: No. 8
Formation energy from raw total energies: -0.010 eV per atom

Structure (extended XYZ):
```
12
Lattice="8.352 0.000 -0.144 0.000 5.339 0.000 -0.865 0.000 5.290" Properties=species:S:1:pos:R:3 pbc="T T T"
Cl 6.294 0.000 2.564
Cl 3.039 0.000 4.717
Cl 6.726 2.670 -0.081
Cl 3.472 2.670 2.072
Pt 1.723 0.000 0.424
Pt 1.291 2.670 3.070
Pt 1.282 0.000 2.982
Pt 1.715 2.670 0.337
Ni 8.017 4.062 1.295
Ni 8.017 1.278 1.295
Ni 7.584 1.392 3.940
Ni 7.584 3.947 3.940
```

***

Question: What is the formula in the second record?
Answer: NiPtCl

***

Question: Which of these has the lowest total moment?
Answer: DyAs2PtRh5

***

Question: The lowest uncorrected energy belongs to which entry?
Answer: DyAs2PtRh5

***

Question: Which of these has the highest total moment?
Answer: NiPtCl